No. 1
Compound: Ac2In3Sn
Source: Alexandria via LeMat-Bulk
Functional: PBE
Structure: optimized geometry

Cell: 4.8808 6.6617 6.7540 Å, 72.06 68.82 68.51°
With the nearest neighbours (Å) after each atom.
Element x y z (fractional)
In 0.8443 0.2154 0.0960  2 Sn 3.04, 2 In 3.09-3.20
Ac 0.4401 0.8097 0.3100  7 In 3.55-3.66, 3 Sn 3.56-3.59
In 0.1623 0.7795 0.8960  3 In 2.96-3.20, 1 Sn 3.13
In 0.8357 0.6150 0.7136  3 In 2.96-3.09, 1 Sn 3.22
Sn 0.1580 0.3871 0.2969  4 In 3.04-3.22
Ac 0.5597 0.1933 0.6874  2 Sn 3.50, 8 In 3.55-3.70

Computed properties:
- magnetization (μB/atom) = 0.000
- ρ (Mg/m³) = 8.2
- DOS(E_F) (states/eV/f.u.) = 4.448
- polymorph energy (0 for the lowest one) (kJ/mol of formula units) = 0
- E_form (eV/atom) = -0.4988


No. 2
Compound: Na2ScAsPt
Source: Alexandria via LeMat-Bulk
Functional: PBE
Structure: optimized geometry

Cell: 5.2312 4.7096 5.2312 Å, 90.00 90.00 90.00°
With the nearest neighbours (Å) after each atom.
Element x y z (fractional)
Pt 0.0000 0.0000 0.0000  2 As 2.35, 4 Na 2.62
As 0.0000 0.5000 0.0000  2 Pt 2.35
Na 0.5000 0.0000 0.0000  2 Pt 2.62
Sc 0.5000 0.5000 0.5000  8 Na 3.52, 4 As 3.70
Na 0.0000 0.0000 0.5000  2 Pt 2.62

Computed properties:
- magnetization (μB/atom) = 0.000
- ρ (Mg/m³) = 4.7
- DOS(E_F) (states/eV/f.u.) = 3.185
- polymorph energy (0 for the lowest one) (kJ/mol of formula units) = 0
- E_form (eV/atom) = 0.1709